Below is a geometry-optimized ScMoW4 structure, with properties calculated at the GGA-PBE level.

Summary:
E_form   0.89 eV per formula unit
E_tot   -272.34 eV for the cell shown
DOS at the Fermi energy   3.9 states/eV/f.u.
Total moment   0.00 μB per formula unit

abc: 7.511 7.511 7.511
angles: 90.00 90.00 90.00
Space group F-43m (No. 216)
Symmetry-distinct sites (fractional):
Sc (0.000, 0.000, 0.000)
Mo (0.250, 0.250, 0.250)
W (0.125, 0.125, 0.625)